Compound: PaZnSnHg
Source: Alexandria
Functional: PBE
Structure: optimized geometry

Calculated values
- N(E_F): 4.83 states/eV/f.u.
- SG: F-43m (216)
- Uncorrected energy: -3.69 eV/atom
- Energy of formation from the pure elements: 0.08 eV/atom
- Spin magnetization: 0.733 μB per formula unit

a = 5.065 Å, b = 5.065 Å, c = 5.065 Å
α = 60.00°, β = 60.00°, γ = 60.00°
Last column: magnetic moment on the atom in μB.
Fractional positions:
Hg 0.500 0.500 0.500  0.00
Pa 0.750 0.750 0.750  0.67
Zn 0.000 0.000 0.000  0.01
Sn 0.250 0.250 0.250  -0.01